Computed, not measured: a relaxed BaMgFe2F8 crystal at the PBE+U level of DFT.

As for the total energy: -63.0 eV/f.u.

It has space group P-3m1 (No. 164), with a = 5.9657 Å, b = 5.9657 Å, c = 7.1182 Å, α = 90.00°, β = 90.00° and γ = 120.00°. The asymmetric unit holds Ba at (0.0000, 0.0000, 0.0000), Mg at (0.0000, 0.0000, 0.5000), Fe at (0.3333, 0.6667, 0.2518), F at (0.1487, 0.2973, 0.3209) and F at (0.3333, 0.6667, 0.9781).